*a*
CsRb3Y (PBE-GGA, relaxed); symmetry = No. 221; N(E_F) = 1.48 states/eV per atom
1.0
-3.3911 -4.1919 5.8202
7.1293 -2.6763 2.2263
0.7870 6.1816 4.9107
Cs Y Rb
1 1 3
Direct
0.5000 0.5000 0.5000
0.0000 0.0000 0.0000
0.0000 0.5000 0.0000
0.0000 0.0000 0.5000
0.5000 0.0000 0.0000

***

*b*
CsRb3Y (PBE-GGA, relaxed); symmetry = No. 221; N(E_F) = 2.36 states/eV per atom
1.0
7.5958 0.0000 0.0000
0.0000 7.5958 0.0000
0.0000 0.0000 7.5958
Cs Y Rb
1 1 3
Direct
0.0000 0.0000 0.0000
0.5000 0.5000 0.5000
0.0000 0.5000 0.0000
0.0000 0.0000 0.5000
0.5000 0.0000 0.0000

***

Of them, the most stable is *a* and the least stable is *b*.

***

*a*
Cs2Rb2Zn (PBE-GGA, relaxed); symmetry = No. 139; N(E_F) = 0.79 states/eV per atom
1.0
-1.2072 -0.8110 5.7047
0.6700 -5.8088 -0.6840
12.5137 -2.1730 5.3769
Cs Zn Rb
2 1 2
Direct
0.4149 0.4149 0.1702
0.5851 0.5851 0.8298
0.0000 0.0000 0.0000
0.7500 0.2500 0.5000
0.2500 0.7500 0.5000

***

*b*
Cs2Rb2Zn (PBE-GGA, relaxed); symmetry = No. 127; N(E_F) = 0.93 states/eV per atom
1.0
-4.6780 -5.2280 7.2005
4.0367 -8.4965 -3.5464
6.5243 1.0211 4.9800
Cs Zn Rb
4 2 4
Direct
0.1815 0.6815 0.5000
0.6815 0.8185 0.5000
0.8185 0.3185 0.5000
0.3185 0.1815 0.5000
0.0000 0.0000 0.0000
0.5000 0.5000 0.0000
0.3382 0.8382 0.0000
0.8382 0.6618 0.0000
0.6618 0.1618 0.0000
0.1618 0.3382 0.0000

***

*c*
Cs2Rb2Zn (PBE-GGA, relaxed); symmetry = No. 127; N(E_F) = 0.90 states/eV per atom
1.0
-10.1032 0.6039 -0.9392
-0.3231 -9.7652 -2.8033
-0.8721 -2.2491 7.9355
Cs Zn Rb
4 2 4
Direct
0.3352 0.8352 0.0000
0.8352 0.6648 0.0000
0.6648 0.1648 0.0000
0.1648 0.3352 0.0000
0.0000 0.0000 0.0000
0.5000 0.5000 0.0000
0.1750 0.6750 0.5000
0.6750 0.8250 0.5000
0.8250 0.3250 0.5000
0.3250 0.1750 0.5000

***

Of them, the most stable is *b* and the least stable is *a*.

***

*a*
CsRb2Zn2 (PBE-GGA, relaxed); symmetry = No. 127; N(E_F) = 0.98 states/eV per atom
1.0
-4.0208 8.9936 -4.8355
-6.9971 1.3583 8.3445
2.9204 2.4112 2.0563
Cs Zn Rb
2 4 4
Direct
0.0000 0.0000 0.0000
0.5000 0.5000 0.0000
0.1656 0.6656 0.5000
0.6656 0.8344 0.5000
0.8344 0.3344 0.5000
0.3344 0.1656 0.5000
0.3698 0.8698 0.0000
0.8698 0.6302 0.0000
0.6302 0.1302 0.0000
0.1302 0.3698 0.0000

***

*b*
CsRb2Zn2 (PBE-GGA, relaxed); symmetry = No. 139; N(E_F) = 0.87 states/eV per atom
1.0
-2.9929 2.9929 7.3979
2.9929 -2.9929 7.3979
2.9929 2.9929 -7.3979
Cs Rb Zn
1 2 2
Direct
0.0000 0.0000 0.0000
0.7500 0.2500 0.5000
0.2500 0.7500 0.5000
0.5873 0.5873 0.0000
0.4127 0.4127 0.0000

***

*c*
CsRb2Zn2 (PBE-GGA, relaxed); symmetry = No. 127; N(E_F) = 1.33 states/eV per atom
1.0
9.6611 0.0000 0.0000
0.0000 9.6611 0.0000
0.0000 0.0000 5.6400
Cs Zn Rb
2 4 4
Direct
0.0000 0.0000 0.0000
0.5000 0.5000 0.0000
0.4046 0.9046 0.0000
0.9046 0.5954 0.0000
0.5954 0.0954 0.0000
0.0954 0.4046 0.0000
0.1664 0.6664 0.5000
0.6664 0.8336 0.5000
0.8336 0.3336 0.5000
0.3336 0.1664 0.5000

***

Of them, the most stable is *c* and the least stable is *a*.

***

*a*
Cs4Rb2Zn (PBE-GGA, relaxed); symmetry = No. 139; N(E_F) = 1.01 states/eV per atom
1.0
7.4390 0.0000 0.0000
0.0000 7.4390 0.0000
3.7195 3.7195 12.2977
Cs Zn Rb
4 1 2
Direct
0.1610 0.1610 0.6780
0.8390 0.8390 0.3220
0.0000 0.5000 0.0000
0.5000 0.0000 0.0000
0.0000 0.0000 0.0000
0.3578 0.3578 0.2843
0.6422 0.6422 0.7157

***

*b*
Cs4Rb2Zn (PBE-GGA, relaxed); symmetry = No. 140; N(E_F) = 0.94 states/eV per atom
1.0
7.9983 0.0000 2.6674
3.9992 11.9738 1.3337
0.2110 0.0000 12.6925
Cs Rb Zn
8 4 2
Direct
0.8128 0.2786 0.0957
0.1872 0.7214 0.9043
0.9086 0.9043 0.2786
0.4086 0.2786 0.9043
0.6872 0.9043 0.7214
0.0914 0.0957 0.7214
0.5914 0.7214 0.0957
0.3128 0.0957 0.2786
0.3996 0.7008 0.5000
0.1004 0.5000 0.2992
0.6004 0.2992 0.5000
0.8996 0.5000 0.7008
0.7500 0.0000 0.0000
0.2500 0.0000 0.0000

***

Of them, the most stable is *b* and the least stable is *a*.

***

*a*
Cs2RbZn (PBE-GGA, relaxed); symmetry = No. 8; N(E_F) = 0.89 states/eV per atom
1.0
-1.2544 -4.4351 2.6405
2.6690 -4.4889 -0.9707
8.9679 0.2191 9.7401
Cs Rb Zn
2 1 1
Direct
0.0571 0.0571 0.8262
0.2758 0.2758 0.1742
0.5007 0.5007 0.4992
0.6664 0.6664 0.0004

***

*b*
Cs2RbZn (PBE-GGA, relaxed); symmetry = No. 225; N(E_F) = 0.82 states/eV per atom
1.0
0.1716 -7.4861 0.2201
-6.1420 -3.9389 -1.6969
-0.2822 -3.9418 -6.3641
Cs Zn Rb
2 1 1
Direct
0.2500 0.2500 0.2500
0.7500 0.7500 0.7500
0.0000 0.0000 0.0000
0.5000 0.5000 0.5000

***

Of them, the most stable is *a* and the least stable is *b*.

***

*a*
Cs2RbZn (PBE-GGA, relaxed); symmetry = No. 123; N(E_F) = 1.18 states/eV per atom
1.0
-2.3024 4.2479 0.0954
-4.1643 -2.2344 -1.0102
-2.1844 -1.4588 12.2313
Cs Zn Rb
2 1 1
Direct
0.0000 0.0000 0.8210
0.0000 0.0000 0.1790
0.5000 0.5000 0.0000
0.5000 0.5000 0.5000

***

*b*
Cs2RbZn (PBE-GGA, relaxed); symmetry = No. 122; N(E_F) = 1.12 states/eV per atom
1.0
-4.9316 -0.5113 11.6080
-11.5128 -1.4879 -4.9567
-7.7259 -4.9606 3.3620
Cs Zn Rb
4 2 2
Direct
0.5234 0.1250 0.2500
0.2266 0.6250 0.2500
0.3750 0.4766 0.7500
0.8750 0.7734 0.7500
0.5000 0.5000 0.0000
0.2500 0.7500 0.5000
0.0000 0.0000 0.0000
0.7500 0.2500 0.5000

***

Of them, the most stable is *a* and the least stable is *b*.

***

*a*
Cs3RbZn (PBE-GGA, relaxed); symmetry = No. 221; N(E_F) = 1.11 states/eV per atom
1.0
-4.2345 6.2310 -0.9285
-5.9114 -4.3167 -2.0097
-2.1777 -0.3980 7.2606
Cs Zn Rb
3 1 1
Direct
0.0000 0.5000 0.0000
0.0000 0.0000 0.5000
0.5000 0.0000 0.0000
0.0000 0.0000 0.0000
0.5000 0.5000 0.5000

***

*b*
Cs3RbZn (PBE-GGA, relaxed); symmetry = No. 221; N(E_F) = 1.33 states/eV per atom
1.0
8.9804 0.0000 0.0000
0.0000 8.9804 0.0000
0.0000 0.0000 8.9804
Cs Zn Rb
3 1 1
Direct
0.0000 0.5000 0.0000
0.0000 0.0000 0.5000
0.5000 0.0000 0.0000
0.5000 0.5000 0.5000
0.0000 0.0000 0.0000

***

Of them, the most stable is *a* and the least stable is *b*.

***

*a*
Cs2Rb4Zn (PBE-GGA, relaxed); symmetry = No. 139; N(E_F) = 0.81 states/eV per atom
1.0
7.1665 0.0000 0.0000
0.0000 7.1665 0.0000
3.5833 3.5833 12.3523
Cs Zn Rb
2 1 4
Direct
0.3453 0.3453 0.3093
0.6547 0.6547 0.6907
0.0000 0.0000 0.0000
0.1479 0.1479 0.7042
0.8521 0.8521 0.2958
0.0000 0.5000 0.0000
0.5000 0.0000 0.0000

***

*b*
Cs2Rb4Zn (PBE-GGA, relaxed); symmetry = No. 140; N(E_F) = 0.84 states/eV per atom
1.0
7.7640 0.0000 2.5893
3.8820 11.9181 1.2946
0.1115 0.0000 12.6005
Cs Rb Zn
4 8 2
Direct
0.3875 0.7250 0.5000
0.1125 0.5000 0.2750
0.6125 0.2750 0.5000
0.8875 0.5000 0.7250
0.8230 0.2642 0.0899
0.1770 0.7358 0.9101
0.9129 0.9101 0.2642
0.4129 0.2642 0.9101
0.6770 0.9101 0.7358
0.0871 0.0899 0.7358
0.5871 0.7358 0.0899
0.3230 0.0899 0.2642
0.7500 0.0000 0.0000
0.2500 0.0000 0.0000

***

Of them, the most stable is *b* and the least stable is *a*.

***

*a*
Cs2Rb2Zr (PBE-GGA, relaxed); symmetry = No. 139; N(E_F) = 0.95 states/eV per atom
1.0
-2.9041 -3.7046 3.1225
4.4817 -3.4371 0.0905
4.8557 2.0058 12.0051
Cs Rb Zr
2 2 1
Direct
0.4177 0.4177 0.1645
0.5823 0.5823 0.8355
0.7500 0.2500 0.5000
0.2500 0.7500 0.5000
0.0000 0.0000 0.0000

***

*b*
Cs2Rb2Zr (PBE-GGA, relaxed); symmetry = No. 127; N(E_F) = 1.59 states/eV per atom
1.0
-2.7705 0.7231 11.1921
-11.2103 -0.5282 -2.7409
0.1425 -4.8251 0.3470
Cs Rb Zr
4 4 2
Direct
0.3492 0.8492 0.0000
0.8492 0.6508 0.0000
0.6508 0.1508 0.0000
0.1508 0.3492 0.0000
0.1633 0.6633 0.5000
0.6633 0.8367 0.5000
0.8367 0.3367 0.5000
0.3367 0.1633 0.5000
0.0000 0.0000 0.0000
0.5000 0.5000 0.0000

***

Of them, the most stable is *a* and the least stable is *b*.

***

*a*
CsRe3Ru (PBE-GGA, relaxed); symmetry = No. 221; N(E_F) = 1.24 states/eV per atom
1.0
-4.6106 -1.2535 -0.9425
0.6816 -4.2375 2.3014
-1.4125 2.0469 4.1872
Cs Re Ru
1 3 1
Direct
0.5000 0.5000 0.5000
0.0000 0.5000 0.0000
0.0000 0.0000 0.5000
0.5000 0.0000 0.0000
0.0000 0.0000 0.0000

***

*b*
CsRe3Ru (PBE-GGA, relaxed); symmetry = No. 221; N(E_F) = 1.12 states/eV per atom
1.0
4.7865 0.0000 0.0000
0.0000 4.7865 0.0000
0.0000 0.0000 4.7865
Cs Re Ru
1 3 1
Direct
0.0000 0.0000 0.0000
0.0000 0.5000 0.0000
0.0000 0.0000 0.5000
0.5000 0.0000 0.0000
0.5000 0.5000 0.5000

***

Of them, the most stable is *a* and the least stable is *b*.

***

*a*
CsReRu3 (PBE-GGA, relaxed); symmetry = No. 221; N(E_F) = 2.71 states/eV per atom
1.0
-2.0763 -2.7656 -3.4112
-1.5881 -3.0450 3.4354
-4.0943 2.5836 0.3973
Cs Re Ru
1 1 3
Direct
0.5000 0.5000 0.5000
0.0000 0.0000 0.0000
0.0000 0.5000 0.0000
0.0000 0.0000 0.5000
0.5000 0.0000 0.0000

***

*b*
CsReRu3 (PBE-GGA, relaxed); symmetry = No. 221; N(E_F) = 2.96 states/eV per atom
1.0
-2.7198 -2.2292 3.2054
3.3697 0.6329 3.2994
-1.9720 4.1559 1.2168
Cs Re Ru
1 1 3
Direct
0.0000 0.0000 0.0000
0.5000 0.5000 0.5000
0.0000 0.5000 0.0000
0.0000 0.0000 0.5000
0.5000 0.0000 0.0000

***

Of them, the most stable is *a* and the least stable is *b*.

***

*a*
CsRe2Ru (PBE-GGA, relaxed); symmetry = No. 122; N(E_F) = 1.84 states/eV per atom
1.0
-2.6482 2.2223 -6.6984
2.6245 -6.3312 -3.1381
-2.7398 -3.4846 -4.3143
Cs Re Ru
2 4 2
Direct
0.0000 0.0000 0.0000
0.7500 0.2500 0.5000
0.5540 0.1250 0.2500
0.1960 0.6250 0.2500
0.3750 0.4460 0.7500
0.8750 0.8040 0.7500
0.5000 0.5000 0.0000
0.2500 0.7500 0.5000

***

*b*
CsRe2Ru (PBE-GGA, relaxed); symmetry = No. 225; N(E_F) = 0.73 states/eV per atom
1.0
0.0000 3.2811 3.2811
3.2811 0.0000 3.2811
3.2811 3.2811 0.0000
Cs Re Ru
1 2 1
Direct
0.5000 0.5000 0.5000
0.2500 0.2500 0.2500
0.7500 0.7500 0.7500
0.0000 0.0000 0.0000

***

Of them, the most stable is *b* and the least stable is *a*.